Entry from the Alexandria database: a relaxed structure of La2BeSbMo (PBE).

## Properties
* uncorrected formation energy: 0.416 eV/atom
* space group: P4/mmm (123)
* magnetic moment: 0.00 μB/cell

```
La2BeSbMo
1.0
-3.342 -4.130 -1.384
2.225 -3.001 3.584
-3.661 1.718 3.712
La Be Sb Mo
2 1 1 1
Cartesian
-1.830 0.859 1.856 La
-1.671 -2.065 -0.692 La
-2.389 -2.706 2.956 Be
1.112 -1.501 1.792 Sb
0.000 0.000 0.000 Mo
```

Entry from the Alexandria database: a relaxed structure of YIn (PBE).

## Properties
* space group: P-6m2 (187)
* formation energy from the elements: -0.290 eV per atom
* magnetic moment: 0.31 μB/cell

```
YIn
1.0
-3.395 -0.877 -0.960
2.674 -0.123 -2.460
0.893 -4.784 1.210
In Y
1 1
Cartesian
0.000 0.000 0.000 In
-0.925 -3.018 -0.855 Y
```

Entry from the Alexandria database: a relaxed structure of Si2SbOs (PBE).

## Properties
* uncorrected formation energy: 0.400 eV/atom
* space group: R3m (160)
* magnetic moment: 0.00 μB/cell

```
Si2SbOs
1.0
8.557 -0.160 -0.094
8.050 2.905 -0.094
8.050 1.331 2.585
Os Si Sb
1 2 1
Cartesian
12.589 2.081 1.223 Os
6.042 0.999 0.587 Si
24.313 4.019 2.363 Si
18.697 3.091 1.817 Sb
```

Entry from the Alexandria database: a relaxed structure of Y2IrSe (PBE).

## Properties
* uncorrected formation energy: -1.075 eV/atom
* space group: Imm2 (44)
* magnetic moment: 0.00 μB/cell

```
Y2IrSe
1.0
-6.853 0.608 3.154
-4.920 -4.208 3.920
6.982 2.615 -1.298
Y Se Ir
2 1 1
Cartesian
-11.341 -3.468 6.815 Y
-2.247 0.905 2.317 Y
-2.419 -1.851 3.384 Se
-6.442 -1.970 3.871 Ir
```

no.,calculated density (Mg/m³),uncorrected energy (eV/f.u.)
1,5.37,-26.455
2,5.89,-9.782
3,8.74,-24.599
4,7.63,-29.576